{
  "formula": "PaF",
  "functional": "PBE",
  "state": "relaxed",
  "polymorph_energy_ev_per_atom": 0.0246,
  "cell": [[-2.434, -1.239, 1.346], [2.424, 0.791, 1.666], [-1.587, 3.712, 0.547]],
  "species": ["F", "Pa"],
  "frac_coords": [[0.667, 0.333, 0.750], [0.333, 0.667, 0.250]]
}

***

{
  "formula": "RbPaF6",
  "functional": "PBE",
  "state": "relaxed",
  "e_tot_ev_per_atom": -6.17,
  "cell": [[5.715, 1.827, -1.829], [1.210, 2.158, 5.936], [2.582, -5.063, 3.010]],
  "species": ["F", "Pa", "F", "F", "F", "Rb", "F", "F", "F", "F", "Rb", "F", "Pa", "F", "F", "F"],
  "frac_coords": [[0.736, 0.156, 0.596], [0.000, 0.500, 0.000], [0.264, 0.656, 0.096], [0.264, 0.844, 0.404], [0.046, 0.133, 0.133], [0.523, 0.750, 0.750], [0.736, 0.596, 0.156], [0.264, 0.096, 0.656], [0.264, 0.404, 0.844], [0.046, 0.367, 0.367], [0.477, 0.250, 0.250], [0.736, 0.904, 0.344], [0.000, 0.000, 0.500], [0.736, 0.344, 0.904], [0.954, 0.633, 0.633], [0.954, 0.867, 0.867]]
}

***

{
  "formula": "Rb2PaF7",
  "functional": "PBE",
  "state": "relaxed",
  "e_tot_ev_per_atom": -5.91,
  "cell": [[6.838, -3.370, 0.000], [6.838, 3.370, 0.000], [-4.639, 0.000, 6.577]],
  "species": ["F", "Rb", "F", "F", "F", "Rb", "F", "F", "Rb", "F", "Pa", "F", "F", "F", "F", "F", "Pa", "Rb", "F", "F"],
  "frac_coords": [[0.647, 0.353, 0.750], [0.662, 0.680, 0.113], [0.297, 0.058, 0.493], [0.110, 0.662, 0.709], [0.662, 0.110, 0.209], [0.680, 0.662, 0.613], [0.209, 0.944, 0.080], [0.058, 0.297, 0.993], [0.338, 0.320, 0.887], [0.338, 0.890, 0.791], [0.976, 0.024, 0.750], [0.944, 0.209, 0.580], [0.890, 0.338, 0.291], [0.353, 0.647, 0.250], [0.703, 0.942, 0.507], [0.791, 0.056, 0.920], [0.024, 0.976, 0.250], [0.320, 0.338, 0.387], [0.942, 0.703, 0.007], [0.056, 0.791, 0.420]]
}

***

{
  "formula": "Te2Pd2PbF2",
  "functional": "PBE",
  "state": "relaxed",
  "e_tot_ev_per_atom": -3.94,
  "cell": [[-2.340, -0.759, 2.813], [0.515, -3.659, -0.559], [7.640, 0.099, 6.381]],
  "species": ["F", "Pb", "Te", "F", "Te", "Pd", "Pd"],
  "frac_coords": [[0.000, 0.000, 0.500], [0.000, 0.000, 0.000], [0.000, 0.500, 0.745], [0.500, 0.500, 0.500], [0.500, 0.000, 0.255], [0.000, 0.500, 0.342], [0.500, 0.000, 0.658]]
}